No. 1
## Nd2In3Hg4 (PBE)

Data for a geometry-optimized Nd2In3Hg4 structure.

Properties
Polymorph energy (0 for the lowest one): 0 meV per atom
Calculated formation energy: -0.337 eV/atom

Unit cell a=5.172 b=5.172 c=10.448 alpha=94.10 beta=94.10 gamma=57.36
Fractional positions:
1 Nd 0.174 0.174 0.216
2 Nd 0.826 0.826 0.784
3 In 0.163 0.163 0.562
4 In 0.500 0.500 0.000
5 In 0.837 0.837 0.438
6 Hg 0.162 0.162 0.897
7 Hg 0.492 0.492 0.661
8 Hg 0.508 0.508 0.339
9 Hg 0.838 0.838 0.103

No. 2
## SiIr3C (PBE)

Data for a geometry-optimized SiIr3C structure.

Properties
Formation energy (no corrections): 2.89 eV/f.u.
Polymorph energy (0 for the lowest one): 0 meV per atom

Unit cell a=4.095 b=4.095 c=4.095 alpha=90.00 beta=90.00 gamma=90.00
Fractional positions:
1 Si 0.000 0.000 0.000
2 Ir 0.000 0.500 0.500
3 Ir 0.500 0.000 0.500
4 Ir 0.500 0.500 0.000
5 C 0.500 0.500 0.500

No. 3
## Er3TlCu (PBE)

Data for a geometry-optimized Er3TlCu structure.

Properties
Polymorph energy (0 for the lowest one): 0 meV per atom
Calculated formation energy: -0.206 eV/atom

Unit cell a=8.387 b=3.714 c=8.650 alpha=90.00 beta=103.51 gamma=90.00
Fractional positions:
1 Er 0.057 0.250 0.215
2 Er 0.309 0.250 0.923
3 Er 0.309 0.750 0.579
4 Er 0.691 0.250 0.421
5 Er 0.691 0.750 0.077
6 Er 0.943 0.750 0.785
7 Tl 0.391 0.750 0.240
8 Tl 0.609 0.250 0.760
9 Cu 0.060 0.250 0.592
10 Cu 0.940 0.750 0.408

No. 4
## CePm4Sn3 (PBE)

Data for a geometry-optimized CePm4Sn3 structure.

Properties
Calculated formation energy: -0.430 eV/atom

Unit cell a=7.972 b=7.972 c=6.451 alpha=104.15 beta=104.15 gamma=38.43
Fractional positions:
1 Ce 0.000 0.000 0.000
2 Pm 0.122 0.122 0.535
3 Pm 0.269 0.269 0.196
4 Pm 0.731 0.731 0.804
5 Pm 0.878 0.878 0.465
6 Sn 0.351 0.351 0.772
7 Sn 0.500 0.500 0.500
8 Sn 0.649 0.649 0.228